1.
Density functional theory data (PBE-GGA) for an optimized crystal structure of CrPIN2.

Unit cell a=3.6099 b=3.6099 c=7.0433 alpha=90.00 beta=90.00 gamma=90.00
Last column: nearest neighbours and their distance in Å.
Space group P4/mmm (No. 123)
Symmetry-distinct sites (fractional):
Cr: 0.0000 0.0000 0.0000  4 I 2.55
P: 0.5000 0.5000 0.5000  4 N 1.80
I: 0.5000 0.5000 0.0000  4 Cr 2.55
N: 0.0000 0.5000 0.5000  2 P 1.80

- magnetic moment (μB/atom) = 1.0251
- raw formation energy (eV per atom) = 1.17
- E above lowest polymorph (eV/atom) = 0.131



2.
Density functional theory data (PBE-GGA) for an optimized crystal structure of CrPIN2.

Unit cell a=3.7254 b=3.7254 c=5.9187 alpha=90.00 beta=90.00 gamma=90.00
Last column: nearest neighbours and their distance in Å.
Space group P4/mmm (No. 123)
Symmetry-distinct sites (fractional):
Cr: 0.0000 0.0000 0.0000  4 N 1.86
P: 0.5000 0.5000 0.5000  4 I 2.63
I: 0.0000 0.0000 0.5000  4 P 2.63
N: 0.0000 0.5000 0.0000  2 Cr 1.86

- magnetic moment (μB/atom) = 0.1244
- raw formation energy (eV per atom) = 1.04
- E above lowest polymorph (eV/atom) = 0.000